A plane-wave DFT calculation with GGA-PBE was carried out for a geometry-optimized NaOs3Pb structure.

```
data_NaOs3Pb
_symmetry_space_group_name_H-M 'P m -3 m'
_symmetry_Int_Tables_number 221
_symmetry_space_group_name_Hall '-P 4 2 3'
_cell_length_a 4.581
_cell_length_b 4.581
_cell_length_c 4.581
_cell_angle_alpha 90.00
_cell_angle_beta 90.00
_cell_angle_gamma 90.00
loop_
_atom_site_label
_atom_site_fract_x
_atom_site_fract_y
_atom_site_fract_z
Na1 0.000 0.000 0.000
Os1 0.000 0.000 0.500
Pb1 0.500 0.500 0.500
```

Properties
Energy above the most stable polymorph in this dataset ... 24 kJ/mol of formula units
Fermi-level density of states ... 1.690 states/eV/atom
Total moment ... 2.82 μB per formula unit

***

A plane-wave DFT calculation with GGA-PBE was carried out for a geometry-optimized Na2OsPb2 structure.

```
data_Na2OsPb2
_symmetry_space_group_name_H-M 'I 4/m m m'
_symmetry_Int_Tables_number 139
_symmetry_space_group_name_Hall '-I 4 2'
_cell_length_a 5.431
_cell_length_b 5.431
_cell_length_c 7.810
_cell_angle_alpha 90.00
_cell_angle_beta 90.00
_cell_angle_gamma 90.00
loop_
_atom_site_label
_atom_site_fract_x
_atom_site_fract_y
_atom_site_fract_z
Na1 0.000 0.000 0.143
Os1 0.000 0.000 0.500
Pb1 0.000 0.500 0.250
```

Properties
Energy above the most stable polymorph in this dataset ... 52 kJ/mol of formula units
Fermi-level density of states ... 0.887 states/eV/atom
Total moment ... 0.00 μB per formula unit

***

A plane-wave DFT calculation with GGA-PBE was carried out for a geometry-optimized Na2OsPb structure.

```
data_Na2OsPb
_symmetry_space_group_name_H-M 'I -4 2 d'
_symmetry_Int_Tables_number 122
_symmetry_space_group_name_Hall 'I -4 2bw'
_cell_length_a 8.484
_cell_length_b 8.484
_cell_length_c 5.384
_cell_angle_alpha 90.00
_cell_angle_beta 90.00
_cell_angle_gamma 90.00
loop_
_atom_site_label
_atom_site_fract_x
_atom_site_fract_y
_atom_site_fract_z
Na1 0.221 0.250 0.125
Os1 0.000 0.000 0.000
Pb1 0.000 0.000 0.500
```

Properties
Fermi-level density of states ... 0.465 states/eV/atom
Total moment ... 0.17 μB per formula unit
E_tot ... -3.486 eV/atom

***

A plane-wave DFT calculation with GGA-PBE was carried out for a geometry-optimized NaOs2Pb structure.

```
data_NaOs2Pb
_symmetry_space_group_name_H-M 'I -4 2 d'
_symmetry_Int_Tables_number 122
_symmetry_space_group_name_Hall 'I -4 2bw'
_cell_length_a 7.982
_cell_length_b 7.982
_cell_length_c 5.120
_cell_angle_alpha 90.00
_cell_angle_beta 90.00
_cell_angle_gamma 90.00
loop_
_atom_site_label
_atom_site_fract_x
_atom_site_fract_y
_atom_site_fract_z
Na1 0.000 0.000 0.000
Os1 0.221 0.250 0.625
Pb1 0.000 0.000 0.500
```

Properties
Fermi-level density of states ... 0.967 states/eV/atom
Total moment ... 0.00 μB per formula unit
E_tot ... -5.420 eV/atom

***

A plane-wave DFT calculation with GGA-PBE was carried out for a geometry-optimized Na2OsPb2 structure.

```
data_Na2OsPb2
_symmetry_space_group_name_H-M 'P 4/m b m'
_symmetry_Int_Tables_number 127
_symmetry_space_group_name_Hall '-P 4 2ab'
_cell_length_a 7.283
_cell_length_b 7.283
_cell_length_c 4.374
_cell_angle_alpha 90.00
_cell_angle_beta 90.00
_cell_angle_gamma 90.00
loop_
_atom_site_label
_atom_site_fract_x
_atom_site_fract_y
_atom_site_fract_z
Na1 0.127 0.373 0.000
Os1 0.000 0.000 0.000
Pb1 0.186 0.686 0.500
```

Properties
Energy above the most stable polymorph in this dataset ... 0 kJ/mol of formula units
Fermi-level density of states ... 0.835 states/eV/atom
Total moment ... 1.13 μB per formula unit

***

A plane-wave DFT calculation with GGA-PBE was carried out for a geometry-optimized NaOsPb2 structure.

```
data_NaOsPb2
_symmetry_space_group_name_H-M 'F m -3 m'
_symmetry_Int_Tables_number 225
_symmetry_space_group_name_Hall '-F 4 2 3'
_cell_length_a 6.961
_cell_length_b 6.961
_cell_length_c 6.961
_cell_angle_alpha 90.00
_cell_angle_beta 90.00
_cell_angle_gamma 90.00
loop_
_atom_site_label
_atom_site_fract_x
_atom_site_fract_y
_atom_site_fract_z
Na1 0.000 0.000 0.000
Os1 0.000 0.000 0.500
Pb1 0.250 0.250 0.250
```

Properties
Energy above the most stable polymorph in this dataset ... 0 kJ/mol of formula units
Fermi-level density of states ... 0.520 states/eV/atom
Total moment ... 0.00 μB per formula unit

***

A plane-wave DFT calculation with GGA-PBE was carried out for a geometry-optimized NaReOsPb2 structure.

```
data_NaReOsPb2
_symmetry_space_group_name_H-M 'P 4/m m m'
_symmetry_Int_Tables_number 123
_symmetry_space_group_name_Hall '-P 4 2'
_cell_length_a 5.216
_cell_length_b 5.216
_cell_length_c 5.349
_cell_angle_alpha 90.00
_cell_angle_beta 90.00
_cell_angle_gamma 90.00
loop_
_atom_site_label
_atom_site_fract_x
_atom_site_fract_y
_atom_site_fract_z
Na1 0.000 0.000 0.000
Re1 0.500 0.500 0.000
Os1 0.000 0.000 0.500
Pb1 0.000 0.500 0.500
```

Properties
Fermi-level density of states ... 0.864 states/eV/atom
Total moment ... 4.33 μB per formula unit
E_tot ... -4.792 eV/atom

***

A plane-wave DFT calculation with GGA-PBE was carried out for a geometry-optimized NaOs2PbS structure.

```
data_NaOs2PbS
_symmetry_space_group_name_H-M 'P 4/m m m'
_symmetry_Int_Tables_number 123
_symmetry_space_group_name_Hall '-P 4 2'
_cell_length_a 4.381
_cell_length_b 4.381
_cell_length_c 5.559
_cell_angle_alpha 90.00
_cell_angle_beta 90.00
_cell_angle_gamma 90.00
loop_
_atom_site_label
_atom_site_fract_x
_atom_site_fract_y
_atom_site_fract_z
Na1 0.000 0.000 0.000
Os1 0.000 0.500 0.500
Pb1 0.500 0.500 0.000
S1 0.500 0.500 0.500
```

Properties
Energy above the most stable polymorph in this dataset ... 0 kJ/mol of formula units
Fermi-level density of states ... 0.905 states/eV/atom
Total moment ... 0.00 μB per formula unit

***

Question: Among the records above, which one has the highest Fermi-level density of states?
Answer: NaOs3Pb